Computed, not measured: TbYZr2As2 after structural relaxation at the PBE level of DFT.

abc: 4.0948 4.0948 15.9476
angles: 90.00 90.00 90.00
Space group I4mm (No. 107)
One atom of each set of equivalent atoms:
Tb: 0.0000 0.0000 0.0000
Y: 0.0000 0.0000 0.3556
Zr: 0.0000 0.5000 0.1778
As: 0.0000 0.0000 0.5456
As: 0.0000 0.0000 0.8100

Properties
The value obtained for the calculated total energy is -7.26 eV per atom. As for the magnetic moment: 0.0 μB per formula unit.